DFT (PBE) results for a relaxed structure of Ti3RuC.

Properties
energy relative to the elements	7.580	eV/f.u.
space-group type	Pm-3m, No. 221
total moment	0.00	μB per formula unit
total energy	-6.92	eV per atom

```
Ti3RuC
1.0
4.624 0.000 0.000
0.000 4.624 0.000
0.000 0.000 4.624
Ti Ru C
3 1 1
direct
0.000 0.000 0.500 Ti
0.000 0.500 0.000 Ti
0.500 0.000 0.000 Ti
0.000 0.000 0.000 Ru
0.500 0.500 0.500 C
```


DFT (PBE) results for a relaxed structure of GeH4Pd6.

Properties
space-group type	P2_1/m, No. 11
total moment	0.00	μB per formula unit
total energy	-4.66	eV per atom

```
GeH4Pd6
1.0
3.708 0.000 0.000
0.000 13.806 0.000
-1.834 0.000 4.758
Ge H Pd
2 8 12
direct
0.185 0.250 0.368 Ge
0.815 0.750 0.632 Ge
0.097 0.118 0.849 H
0.097 0.382 0.849 H
0.444 0.036 0.285 H
0.444 0.464 0.285 H
0.556 0.536 0.715 H
0.556 0.964 0.715 H
0.903 0.618 0.151 H
0.903 0.882 0.151 H
0.000 0.000 0.000 Pd
0.000 0.500 0.000 Pd
0.122 0.750 0.246 Pd
0.286 0.081 0.582 Pd
0.286 0.419 0.582 Pd
0.422 0.648 0.845 Pd
0.422 0.852 0.845 Pd
0.578 0.148 0.155 Pd
0.578 0.352 0.155 Pd
0.714 0.581 0.418 Pd
0.714 0.919 0.418 Pd
0.878 0.250 0.754 Pd
```


DFT (PBE) results for a relaxed structure of Pm2Sm6HoEr.

Properties
energy relative to the elements	1.163	eV/f.u.
space-group type	C2/c, No. 15
total moment	0.00	μB per formula unit
total energy	-4.58	eV per atom

```
Pm2Sm6HoEr
1.0
4.572 -7.639 0.000
4.572 7.639 0.000
-1.404 0.000 9.632
Pm Sm Ho Er
4 12 2 2
direct
0.196 0.299 0.043 Pm
0.299 0.196 0.543 Pm
0.701 0.804 0.457 Pm
0.804 0.701 0.957 Pm
0.017 0.573 0.189 Sm
0.124 0.754 0.556 Sm
0.246 0.876 0.944 Sm
0.291 0.502 0.381 Sm
0.427 0.983 0.311 Sm
0.498 0.709 0.119 Sm
0.502 0.291 0.881 Sm
0.573 0.017 0.689 Sm
0.709 0.498 0.619 Sm
0.754 0.124 0.056 Sm
0.876 0.246 0.444 Sm
0.983 0.427 0.811 Sm
0.021 0.979 0.250 Ho
0.979 0.021 0.750 Ho
0.409 0.591 0.750 Er
0.591 0.409 0.250 Er
```


DFT (PBE) results for a relaxed structure of NaCuRe2H.

Properties
space-group type	P4/mmm, No. 123
total moment	6.41	μB per formula unit
total energy	-3.38	eV per atom

```
NaCuRe2H
1.0
4.843 0.000 0.000
0.000 4.843 0.000
0.000 0.000 4.434
Na Cu Re H
1 1 2 1
direct
0.000 0.000 0.000 Na
0.000 0.000 0.500 Cu
0.000 0.500 0.000 Re
0.500 0.000 0.000 Re
0.500 0.500 0.500 H
```


DFT (PBE) results for a relaxed structure of Ba2LiMgHg.

Properties
energy relative to the elements	-0.263	eV/f.u.
space-group type	P4/mmm, No. 123
total moment	0.00	μB per formula unit
total energy	-1.58	eV per atom

```
Ba2LiMgHg
1.0
6.579 0.000 0.000
0.000 6.579 0.000
0.000 0.000 5.073
Ba Li Mg Hg
2 1 1 1
direct
0.000 0.500 0.000 Ba
0.500 0.000 0.000 Ba
0.000 0.000 0.500 Li
0.500 0.500 0.500 Mg
0.000 0.000 0.000 Hg
```